This record from the Alexandria database describes crystalline CoMo2Br at its relaxed geometry. The functional is PBE-GGA.

Distance to the lowest polymorph of the same formula (eV/atom): 0.163
Space-group type: Cmm2
Uncorrected formation energy (eV per formula unit): 2.4
Density of states at the Fermi level (states/eV per cell): 5.1

abc: 2.9289 2.9289 8.2514
angles: 90.00 90.00 112.12
Site moments in Bohr magnetons follow the coordinates.
Positions (direct):
Mo (0.5000, 0.5000, 0.2314)  -0.11
Mo (0.0000, 0.0000, 0.9883)  -0.03
Co (0.5000, 0.5000, 0.7682)  1.15
Br (0.0000, 0.0000, 0.5121)  0.04